Entry 1:
! Sm4DySn4 PBE-GGA optimized geometry; values from VASP
! - Crystal system: tetragonal
! - Calculated formation energy: -0.461 eV/atom
&SYSTEM
  ibrav = 0, nat = 18, ntyp = 3
/
ATOMIC_SPECIES
Sm 150.36 Sm.upf
Dy 162.50 Dy.upf
Sn 118.71 Sn.upf
CELL_PARAMETERS angstrom
6.364 0.000 0.000
0.000 9.515 0.000
0.000 0.000 9.515
ATOMIC_POSITIONS angstrom
Sm 2.360 2.774 8.723
Sm 5.542 5.550 7.531
Sm 2.360 6.741 0.792
Sm 0.821 1.984 5.550
Sm 4.003 8.723 6.741
Sm 0.821 7.531 3.965
Sm 5.542 3.965 1.984
Sm 4.003 0.792 2.774
Dy 0.000 0.000 0.000
Dy 3.182 4.757 4.757
Sn 4.034 7.372 3.718
Sn 4.034 2.143 5.797
Sn 0.852 8.476 6.901
Sn 5.512 2.614 8.476
Sn 5.512 6.901 1.039
Sn 2.330 3.718 2.143
Sn 2.330 5.797 7.372
Sn 0.852 1.039 2.614

---

Entry 2:
! GaAgPtPb2 PBE-GGA optimized geometry; values from VASP
! - Crystal system: trigonal
! - Calculated formation energy: -0.116 eV/atom
&SYSTEM
  ibrav = 0, nat = 15, ntyp = 4
/
ATOMIC_SPECIES
Ga 69.72 Ga.upf
Ag 107.87 Ag.upf
Pt 195.08 Pt.upf
Pb 207.20 Pb.upf
CELL_PARAMETERS angstrom
4.474 0.000 0.000
-2.237 3.874 0.000
0.000 0.000 19.989
ATOMIC_POSITIONS angstrom
Ga 0.000 0.000 4.857
Ga 0.000 2.583 18.183
Ga 2.237 1.291 11.520
Ag 0.000 0.000 8.116
Ag 0.000 2.583 1.453
Ag 2.237 1.291 14.779
Pt 0.000 0.000 11.128
Pt 0.000 2.583 4.465
Pt 2.237 1.291 17.791
Pb 0.000 0.000 16.276
Pb 0.000 2.583 9.613
Pb 2.237 1.291 2.950
Pb 0.000 0.000 19.814
Pb 0.000 2.583 13.151
Pb 2.237 1.291 6.488

---

Entry 3:
! V2Co2Sb PBE-GGA optimized geometry; values from VASP
! - Energy relative to the elements, uncorrected: 0.48 eV/f.u.
! - Crystal system: tetragonal
&SYSTEM
  ibrav = 0, nat = 5, ntyp = 3
/
ATOMIC_SPECIES
Sb 121.76 Sb.upf
Co 58.93 Co.upf
V 50.94 V.upf
CELL_PARAMETERS angstrom
-1.565 -1.857 -3.039
3.481 -0.097 -1.733
1.901 -5.264 -0.252
ATOMIC_POSITIONS angstrom
Sb 0.000 0.000 0.000
Co 1.176 -1.968 -1.893
Co 2.642 -5.251 -3.131
V 0.647 -4.049 -2.839
V 3.170 -3.169 -2.186

---

What total moment values result from the calculations? In sequence: 0.000, 0.000, 0.538 μB/f.u..